[1]
DFT (PBE) results for crystalline CdMoAs2Br at its relaxed geometry.

a b c (Å): 4.851 4.851 5.480
angles (deg): 90.00 90.00 90.00
Space group P4/mmm (No. 123)
Inequivalent atoms, fractional coordinates:
1 Cd 0.000 0.000 0.000 (multiplicity 1)
2 Mo 0.500 0.500 0.500 (multiplicity 1)
3 As 0.000 0.500 0.500 (multiplicity 2)
4 Br 0.500 0.500 0.000 (multiplicity 1)

Computed properties:
E (eV per atom): -4.27



[2]
DFT (PBE) results for crystalline CdAsBr2N at its relaxed geometry.

a b c (Å): 4.609 4.609 4.773
angles (deg): 90.00 90.00 90.00
Space group P4/mmm (No. 123)
Inequivalent atoms, fractional coordinates:
1 Cd 0.000 0.000 0.000 (multiplicity 1)
2 As 0.500 0.500 0.000 (multiplicity 1)
3 Br 0.000 0.500 0.500 (multiplicity 2)
4 N 0.500 0.500 0.500 (multiplicity 1)

Computed properties:
E (eV per atom): -2.59



[3]
DFT (PBE) results for crystalline CdAs2BrN at its relaxed geometry.

a b c (Å): 5.273 5.273 5.766
angles (deg): 90.00 90.00 90.00
Space group P4/mmm (No. 123)
Inequivalent atoms, fractional coordinates:
1 Cd 0.000 0.000 0.000 (multiplicity 1)
2 As 0.000 0.500 0.000 (multiplicity 2)
3 Br 0.000 0.000 0.500 (multiplicity 1)
4 N 0.500 0.500 0.500 (multiplicity 1)

Computed properties:
E (eV per atom): -2.39



> E of number 3 (CdAs2BrN)?

-2.39 eV per atom